(1)
30
Lattice="6.125 0.000 0.000 0.000 6.125 0.000 0.000 0.000 19.213" Properties=species:S:1:pos:R:3 comment="Tm2Cd12Ag PBE optimized geometry" formation_energy_mev_per_atom=-30.0 magmom_total_mub_per_cell=0.00 pbc="T T T"
Tm 1.531 4.593 4.638
Tm 1.531 4.593 14.575
Tm 4.593 1.531 4.638
Tm 4.593 1.531 14.575
Cd 0.001 6.123 7.768
Cd 6.123 0.001 11.445
Cd 6.123 3.061 7.768
Cd 0.001 3.064 11.445
Cd 0.489 3.551 1.298
Cd 0.489 5.636 17.915
Cd 1.531 1.531 3.122
Cd 1.531 1.531 5.832
Cd 1.531 1.531 13.381
Cd 1.531 1.531 16.090
Cd 2.574 3.551 17.915
Cd 2.574 5.636 1.298
Cd 3.064 0.001 7.768
Cd 3.061 6.123 11.445
Cd 3.061 3.064 7.768
Cd 3.064 3.061 11.445
Cd 3.551 0.489 17.915
Cd 3.551 2.574 1.298
Cd 4.593 4.593 3.122
Cd 4.593 4.593 5.832
Cd 4.593 4.593 13.381
Cd 4.593 4.593 16.090
Cd 5.636 0.489 1.298
Cd 5.636 2.574 17.915
Ag 1.531 4.593 9.606
Ag 4.593 1.531 9.606

=====

(2)
11
Lattice="4.563 -5.282 0.000 4.563 5.282 0.000 0.000 0.000 7.943" Properties=species:S:1:pos:R:3 comment="Cs2Pu2Cl7 PBE optimized geometry" magmom_total_mub_per_cell=11.00 e_form_raw_kj_per_mol_fu=-2061 pbc="T T T"
Cs 2.092 0.000 0.000
Cs 7.033 0.000 0.000
Pu 4.563 2.336 3.971
Pu 4.563 -2.336 3.971
Cl 0.000 0.000 3.971
Cl 2.281 2.641 2.230
Cl 2.281 2.641 5.713
Cl 2.281 -2.641 2.230
Cl 2.281 -2.641 5.713
Cl 4.563 0.000 2.304
Cl 4.563 0.000 5.639

=====

(3)
10
Lattice="9.101 0.000 0.000 0.000 9.101 0.000 0.000 0.000 4.640" Properties=species:S:1:pos:R:3 comment="SrAc2Tl2 PBE optimized geometry" formation_energy_mev_per_atom=-305.4 magmom_total_mub_per_cell=0.00 relative_energy_mev_per_atom=0 pbc="T T T"
Sr 0.000 0.000 0.000
Sr 4.551 4.551 0.000
Ac 1.501 3.050 2.320
Ac 3.050 7.600 2.320
Ac 6.051 1.501 2.320
Ac 7.600 6.051 2.320
Tl 1.187 5.738 0.000
Tl 3.363 1.187 0.000
Tl 5.738 7.914 0.000
Tl 7.914 3.363 0.000

=====

(4)
16
Lattice="7.104 0.000 0.000 0.000 7.104 0.000 0.000 0.000 7.104" Properties=species:S:1:pos:R:3 comment="BeTl2Si PBE optimized geometry" magmom_total_mub_per_cell=0.00 e_form_raw_kj_per_mol_fu=308 relative_energy_mev_per_atom=564 pbc="T T T"
Be 0.000 0.000 0.000
Be 0.000 3.552 3.552
Be 3.552 0.000 3.552
Be 3.552 3.552 0.000
Tl 0.000 0.000 3.552
Tl 0.000 3.552 0.000
Tl 1.776 1.776 5.328
Tl 1.776 5.328 1.776
Tl 3.552 0.000 0.000
Tl 3.552 3.552 3.552
Tl 5.328 1.776 1.776
Tl 5.328 5.328 5.328
Si 1.776 1.776 1.776
Si 1.776 5.328 5.328
Si 5.328 1.776 5.328
Si 5.328 5.328 1.776